The following is a PBE-GGA calculation of a relaxed structure of La2PmNdP4, from the Alexandria database.

Output
SG: P2/m
Calculated formation energy (eV per formula unit): -12.49

```
8
Lattice="7.293 0.000 0.000 0.000 4.214 0.000 -2.428 0.000 6.882" Properties=species:S:1:pos:R:3 pbc="T T T"
La 0.000 0.000 0.000
La 3.647 2.107 0.000
Pm -1.214 2.107 3.441
Nd 2.433 0.000 3.441
P -0.004 0.000 5.123
P 1.209 2.107 1.755
P 3.656 2.107 5.127
P 4.870 0.000 1.759
```